1.
DFT (PBEsol) results for crystalline YZrTiSn2 at its relaxed geometry.

a b c (Å): 5.500 5.500 5.014
angles (deg): 90.00 90.00 90.00
Sites, in units of the cell vectors:
Y 0.000 0.000 0.000
Zr 0.000 0.000 0.500
Ti 0.500 0.500 0.500
Sn 0.000 0.500 0.000
Sn 0.500 0.000 0.000

## Properties
The value obtained for the energy is -5.352 eV/atom. The space group is P4/mmm. As for the formation energy: 1199 meV per atom. For the total moment, the calculation gives 0.46 μB/atom. The calculation puts the calculated density at 5.097 g/cm³.

2.
DFT (PBEsol) results for crystalline SrCa2Mg at its relaxed geometry.

a b c (Å): 7.147 7.147 7.147
angles (deg): 146.83 129.21 62.01
Sites, in units of the cell vectors:
Sr 0.000 0.000 0.000
Ca 0.281 0.781 0.500
Ca 0.719 0.219 0.500
Mg 0.500 0.500 0.000

## Properties
The value obtained for the energy is -1.967 eV/atom. The space group is Immm. As for the formation energy: -11 meV per atom. For the total moment, the calculation gives 0.00 μB/atom. The calculation puts the calculated density at 2.082 g/cm³.